Entry 1:
Compound: Tb2SnH
Source: Alexandria
Functional: PBE-GGA
Structure: optimized geometry

```
Tb2SnH
1.0
-1.866 3.223 7.514
1.866 -3.223 7.514
1.866 3.223 -7.514
Tb Sn H
4 2 2
direct
0.188 0.188 0.000
0.245 0.500 0.745
0.755 0.500 0.255
0.812 0.812 0.000
0.358 0.858 0.500
0.642 0.142 0.500
0.107 0.607 0.500
0.893 0.393 0.500
```

***

Entry 2:
Compound: Tb3Sn2H2
Source: Alexandria
Functional: PBE-GGA
Structure: optimized geometry

```
Tb3Sn2H2
1.0
6.340 0.000 0.000
0.000 8.149 0.000
-3.386 0.000 5.815
Tb Sn H
6 4 4
direct
0.000 0.000 0.000
0.000 0.500 0.500
0.342 0.091 0.697
0.342 0.409 0.197
0.658 0.591 0.803
0.658 0.909 0.303
0.223 0.730 0.883
0.223 0.770 0.383
0.777 0.230 0.617
0.777 0.270 0.117
0.356 0.120 0.083
0.356 0.380 0.583
0.644 0.620 0.417
0.644 0.880 0.917
```

***

Entry 3:
Compound: Tb12Sn3H5
Source: Alexandria
Functional: PBE-GGA
Structure: optimized geometry

```
Tb12Sn3H5
1.0
-7.833 7.833 7.833
7.833 -7.833 7.833
7.833 7.833 -7.833
Tb Sn H
48 12 20
direct
0.013 0.206 0.110
0.013 0.307 0.904
0.096 0.610 0.404
0.096 0.706 0.693
0.096 0.890 0.404
0.096 0.987 0.693
0.110 0.013 0.206
0.110 0.596 0.904
0.193 0.206 0.596
0.193 0.487 0.596
0.206 0.110 0.013
0.206 0.596 0.193
0.294 0.307 0.904
0.294 0.487 0.390
0.307 0.904 0.013
0.307 0.904 0.294
0.390 0.294 0.487
0.390 0.596 0.904
0.404 0.096 0.610
0.404 0.096 0.890
0.404 0.807 0.513
0.404 0.807 0.794
0.487 0.390 0.294
0.487 0.596 0.193
0.513 0.404 0.807
0.513 0.610 0.706
0.596 0.193 0.206
0.596 0.193 0.487
0.596 0.904 0.110
0.596 0.904 0.390
0.610 0.404 0.096
0.610 0.706 0.513
0.693 0.096 0.706
0.693 0.096 0.987
0.706 0.513 0.610
0.706 0.693 0.096
0.794 0.404 0.807
0.794 0.890 0.987
0.807 0.513 0.404
0.807 0.794 0.404
0.890 0.404 0.096
0.890 0.987 0.794
0.904 0.013 0.307
0.904 0.110 0.596
0.904 0.294 0.307
0.904 0.390 0.596
0.987 0.693 0.096
0.987 0.794 0.890
0.125 0.250 0.375
0.125 0.375 0.750
0.250 0.375 0.125
0.250 0.875 0.625
0.375 0.125 0.250
0.375 0.750 0.125
0.625 0.250 0.875
0.625 0.875 0.750
0.750 0.125 0.375
0.750 0.625 0.875
0.875 0.625 0.250
0.875 0.750 0.625
0.000 0.000 0.000
0.000 0.000 0.500
0.000 0.500 0.000
0.000 0.500 0.500
0.125 0.750 0.875
0.125 0.875 0.250
0.250 0.125 0.875
0.250 0.625 0.375
0.375 0.250 0.625
0.375 0.625 0.750
0.500 0.000 0.000
0.500 0.000 0.500
0.500 0.500 0.000
0.500 0.500 0.500
0.625 0.375 0.250
0.625 0.750 0.375
0.750 0.375 0.625
0.750 0.875 0.125
0.875 0.125 0.750
0.875 0.250 0.125
```

***

Entry 4:
Compound: Tb2SnH
Source: Alexandria
Functional: PBE-GGA
Structure: optimized geometry

```
Tb2SnH
1.0
4.528 0.000 0.000
0.000 4.528 0.000
0.000 0.000 8.540
Tb Sn H
4 2 2
direct
0.250 0.250 0.150
0.250 0.750 0.500
0.750 0.250 0.500
0.750 0.750 0.850
0.250 0.250 0.781
0.750 0.750 0.219
0.250 0.250 0.419
0.750 0.750 0.581
```

***

Entry 5:
Compound: TbSnH
Source: Alexandria
Functional: PBE-GGA
Structure: optimized geometry

```
TbSnH
1.0
3.654 0.000 0.000
-1.827 3.165 0.000
0.000 0.000 5.106
Tb Sn H
1 1 1
direct
0.000 0.000 0.000
0.667 0.333 0.500
0.333 0.667 0.000
```

***

Entry 6:
Compound: TbSnH
Source: Alexandria
Functional: PBE-GGA
Structure: optimized geometry

```
TbSnH
1.0
5.982 -1.871 0.000
5.982 1.871 0.000
-0.101 0.000 5.207
Tb Sn H
2 2 2
direct
0.148 0.148 0.312
0.852 0.852 0.688
0.417 0.417 0.192
0.583 0.583 0.808
0.267 0.267 0.629
0.733 0.733 0.371
```

***

Entry 7:
Compound: Tb5Sn4H
Source: Alexandria
Functional: PBE-GGA
Structure: optimized geometry

```
Tb5Sn4H
1.0
-4.789 4.789 3.092
4.789 -4.789 3.092
4.789 4.789 -3.092
Tb Sn H
5 4 1
direct
0.000 0.000 0.000
0.272 0.655 0.814
0.458 0.272 0.617
0.655 0.841 0.383
0.841 0.458 0.186
0.151 0.360 0.395
0.360 0.965 0.209
0.756 0.151 0.791
0.965 0.756 0.605
0.620 0.620 0.000
```

***

Entry 8:
Compound: Tc3SnH
Source: Alexandria
Functional: PBE-GGA
Structure: optimized geometry

```
Tc3SnH
1.0
5.063 0.000 0.000
0.000 5.063 0.000
0.000 0.000 5.063
Tc Sn H
3 1 1
direct
0.000 0.000 0.500
0.000 0.500 0.000
0.500 0.000 0.000
0.000 0.000 0.000
0.500 0.500 0.500
```

***

Entry 9:
Compound: Tc2SnH2
Source: Alexandria
Functional: PBE-GGA
Structure: optimized geometry

```
Tc2SnH2
1.0
-1.603 1.603 5.338
1.603 -1.603 5.338
1.603 1.603 -5.338
Tc Sn H
2 1 2
direct
0.153 0.153 0.000
0.847 0.847 0.000
0.500 0.500 0.000
0.250 0.750 0.500
0.750 0.250 0.500
```

***

Entry 10:
Compound: TcSn2H5
Source: Alexandria
Functional: PBE-GGA
Structure: optimized geometry

```
TcSn2H5
1.0
3.445 -3.446 0.000
3.445 3.446 0.000
-3.430 0.000 3.604
Tc Sn H
1 2 5
direct
0.000 0.000 0.000
0.229 0.728 0.462
0.728 0.229 0.462
0.239 0.726 0.968
0.242 0.242 0.970
0.726 0.239 0.968
0.730 0.730 0.976
0.759 0.759 0.523
```

***

Entry 11:
Compound: Tc3SnH
Source: Alexandria
Functional: PBE-GGA
Structure: optimized geometry

```
Tc3SnH
1.0
4.043 0.000 0.000
0.000 4.043 0.000
0.000 0.000 4.043
Tc Sn H
3 1 1
direct
0.000 0.000 0.500
0.000 0.500 0.000
0.500 0.000 0.000
0.500 0.500 0.500
0.000 0.000 0.000
```

***

Entry 12:
Compound: TcSnH
Source: Alexandria
Functional: PBE-GGA
Structure: optimized geometry

```
TcSnH
1.0
2.476 -6.420 0.000
2.476 6.420 0.000
0.000 0.000 5.322
Tc Sn H
4 4 4
direct
0.088 0.912 0.919
0.412 0.588 0.419
0.588 0.412 0.581
0.912 0.088 0.081
0.175 0.825 0.440
0.325 0.675 0.940
0.675 0.325 0.060
0.825 0.175 0.560
0.242 0.258 0.250
0.258 0.242 0.750
0.742 0.758 0.250
0.758 0.742 0.750
```

***

| no. | D(E_F) (states/eV/atom) | total DFT energy (no corrections) (Ha/atom) |
| --- | --- | --- |
| 1 | 0.639 | -0.17597 |
| 2 | 0.212 | -0.17113 |
| 3 | 0.682 | -0.16754 |
| 4 | 0.569 | -0.17773 |
| 5 | 0.213 | -0.16953 |
| 6 | 0.215 | -0.16813 |
| 7 | 0.649 | -0.17272 |
| 8 | 0.577 | -0.18314 |
| 9 | 0.812 | -0.22555 |
| 10 | 0.289 | -0.15488 |
| 11 | 2.406 | -0.27324 |
| 12 | 0.496 | -0.20837 |